Arrangement P

# Tm2ZnSb

A relaxed structure of Tm2ZnSb (PBE, Alexandria via LeMat-Bulk).

a b c (Å): 4.0822 5.9174 8.5402
angles (deg): 108.17 90.00 90.00
Positions (direct):
Zn: 0.2500 0.3837 0.7063
Zn: 0.7500 0.6163 0.2937
Sb: 0.7500 0.1221 0.7915
Sb: 0.2500 0.8779 0.2085
Tm: 0.2500 0.3030 0.0754
Tm: 0.2500 0.7753 0.5636
Tm: 0.7500 0.2247 0.4364
Tm: 0.7500 0.6970 0.9246



Arrangement Q

# Tm2ZnSb

A relaxed structure of Tm2ZnSb (PBE, Alexandria via LeMat-Bulk).

a b c (Å): 3.8053 3.8053 6.6386
angles (deg): 90.00 90.00 90.00
Positions (direct):
Sb: 0.5000 0.5000 0.0000
Tm: 0.0000 0.0000 0.2537
Tm: 0.0000 0.0000 0.7463
Zn: 0.5000 0.5000 0.5000



Q: What are the energies relative to the best structure? A: arrangement P 0; arrangement Q 104, in meV per atom.



Arrangement P

# Tm2ZrSb

A relaxed structure of Tm2ZrSb (PBE, Alexandria via LeMat-Bulk).

a b c (Å): 4.3682 4.3113 11.1565
angles (deg): 90.00 101.34 90.00
Positions (direct):
Zr: 0.6974 0.7500 0.3930
Zr: 0.3026 0.2500 0.6070
Sb: 0.8295 0.7500 0.6602
Sb: 0.1705 0.2500 0.3398
Tm: 0.4339 0.7500 0.8682
Tm: 0.5661 0.2500 0.1318
Tm: 0.0619 0.7500 0.1233
Tm: 0.9381 0.2500 0.8767



Arrangement Q

# Tm2ZrSb

A relaxed structure of Tm2ZrSb (PBE, Alexandria via LeMat-Bulk).

a b c (Å): 4.5269 4.6811 4.6811
angles (deg): 90.00 90.00 90.00
Positions (direct):
Zr: 0.5000 0.5000 0.5000
Tm: 0.0000 0.5000 0.0000
Tm: 0.0000 0.0000 0.5000
Sb: 0.5000 0.0000 0.0000



Q: What are the energies relative to the best structure? A: arrangement P 42; arrangement Q 0, in meV per atom.



Arrangement P

# TmZrSb2

A relaxed structure of TmZrSb2 (PBE, Alexandria via LeMat-Bulk).

a b c (Å): 4.1412 4.1412 7.6656
angles (deg): 74.33 74.33 60.00
Positions (direct):
Tm: 0.6694 0.6694 0.9918
Sb: 0.2470 0.2470 0.2589
Sb: 0.0854 0.0854 0.7438
Zr: 0.4982 0.4982 0.5054



Arrangement Q

# TmZrSb2

A relaxed structure of TmZrSb2 (PBE, Alexandria via LeMat-Bulk).

a b c (Å): 5.9806 5.9806 7.3222
angles (deg): 114.10 114.10 90.00
Positions (direct):
Sb: 0.2471 0.2471 0.4942
Sb: 0.9971 0.4971 0.9942
Sb: 0.7529 0.7529 0.5058
Sb: 0.5029 0.0029 0.0058
Tm: 0.2500 0.7500 0.5000
Tm: 0.5000 0.5000 0.0000
Zr: 0.7500 0.2500 0.5000
Zr: 0.0000 0.0000 0.0000



Arrangement R

# TmZrSb2

A relaxed structure of TmZrSb2 (PBE, Alexandria via LeMat-Bulk).

a b c (Å): 4.1956 4.1956 7.4183
angles (deg): 73.57 73.57 60.00
Positions (direct):
Sb: 0.7469 0.7469 0.7593
Sb: 0.2531 0.2531 0.2407
Zr: 0.0000 0.0000 0.0000
Tm: 0.5000 0.5000 0.5000



Q: What are the energies relative to the best structure? A: arrangement P 30; arrangement Q 15; arrangement R 0, in meV per atom.



Arrangement P

# USb3

A relaxed structure of USb3 (PBE, Alexandria via LeMat-Bulk).

a b c (Å): 4.4193 4.4193 6.1375
angles (deg): 111.10 111.10 90.00
Positions (direct):
U: 0.0000 0.0000 0.0000
Sb: 0.5000 0.5000 0.0000
Sb: 0.2500 0.7500 0.5000
Sb: 0.7500 0.2500 0.5000



Arrangement Q

# USb3

A relaxed structure of USb3 (PBE, Alexandria via LeMat-Bulk).

a b c (Å): 4.7418 4.5849 4.7379
angles (deg): 90.00 90.00 90.00
Positions (direct):
Sb: 0.5000 0.5000 0.9166
Sb: 0.5000 0.0000 0.4166
Sb: 0.0000 0.5000 0.4166
U: 0.0000 0.0000 0.9167



Arrangement R

# USb3

A relaxed structure of USb3 (PBE, Alexandria via LeMat-Bulk).

a b c (Å): 6.3839 6.3839 5.8370
angles (deg): 90.00 90.00 120.00
Positions (direct):
Sb: 0.8272 0.6545 0.7500
Sb: 0.1728 0.3455 0.2500
Sb: 0.6545 0.8272 0.2500
Sb: 0.1728 0.8272 0.2500
Sb: 0.8272 0.1728 0.7500
Sb: 0.3455 0.1728 0.7500
U: 0.6667 0.3333 0.2500
U: 0.3333 0.6667 0.7500



Q: What are the energies relative to the best structure? A: arrangement P 0; arrangement Q 57; arrangement R 15, in meV per atom.



Arrangement P

# Zr2USb

A relaxed structure of Zr2USb (PBE, Alexandria via LeMat-Bulk).

a b c (Å): 3.3484 3.3484 9.9830
angles (deg): 80.35 80.35 60.00
Positions (direct):
Zr: 0.2464 0.2464 0.2607
Zr: 0.7536 0.7536 0.7393
Sb: 0.5000 0.5000 0.5000
U: 0.0000 0.0000 0.0000



Arrangement Q

# Zr2USb

A relaxed structure of Zr2USb (PBE, Alexandria via LeMat-Bulk).

a b c (Å): 4.1132 4.6801 4.6801
angles (deg): 90.00 90.00 90.00
Positions (direct):
U: 0.5000 0.5000 0.5000
Zr: 0.0000 0.5000 0.0000
Zr: 0.0000 0.0000 0.5000
Sb: 0.5000 0.0000 0.0000



Q: What are the energies relative to the best structure? A: arrangement P 272; arrangement Q 0, in meV per atom.



Arrangement P

# V3Sb

A relaxed structure of V3Sb (PBE, Alexandria via LeMat-Bulk).

a b c (Å): 3.9354 3.9361 3.9373
angles (deg): 90.00 90.00 90.00
Positions (direct):
Sb: 0.0000 0.5000 0.4166
V: 0.5000 0.0000 0.4167
V: 0.0000 0.0000 0.9167
V: 0.5000 0.5000 0.9167



Arrangement Q

# V3Sb

A relaxed structure of V3Sb (PBE, Alexandria via LeMat-Bulk).

a b c (Å): 4.4249 4.4249 4.4249
angles (deg): 60.00 60.00 60.00
Positions (direct):
V: 0.2500 0.2500 0.2500
V: 0.0000 0.0000 0.0000
V: 0.7500 0.7500 0.7500
Sb: 0.5000 0.5000 0.5000



Arrangement R

# V3Sb

A relaxed structure of V3Sb (PBE, Alexandria via LeMat-Bulk).

a b c (Å): 3.6245 3.6245 6.0934
angles (deg): 107.30 107.30 90.00
Positions (direct):
V: 0.5000 0.5000 0.0000
V: 0.7695 0.7695 0.5390
V: 0.2305 0.2305 0.4610
Sb: 0.0000 0.0000 0.0000



Q: What are the energies relative to the best structure? A: arrangement P 0; arrangement Q 62; arrangement R 869, in meV per atom.



Arrangement P

# V3Sb

A relaxed structure of V3Sb (PBE, Alexandria via LeMat-Bulk).

a b c (Å): 4.9341 4.9341 4.9341
angles (deg): 90.00 90.00 90.00
Positions (direct):
V: 0.5000 0.2500 0.0000
V: 0.2500 0.0000 0.5000
V: 0.7500 0.0000 0.5000
V: 0.0000 0.5000 0.7500
V: 0.0000 0.5000 0.2500
V: 0.5000 0.7500 0.0000
Sb: 0.5000 0.5000 0.5000
Sb: 0.0000 0.0000 0.0000



Arrangement Q

# V3Sb

A relaxed structure of V3Sb (PBE, Alexandria via LeMat-Bulk).

a b c (Å): 3.8595 3.8595 4.9326
angles (deg): 113.03 113.03 90.00
Positions (direct):
Sb: 0.0000 0.0000 0.0000
V: 0.7500 0.2500 0.5000
V: 0.2500 0.7500 0.5000
V: 0.5000 0.5000 0.0000



Q: What are the energies relative to the best structure? A: arrangement P 0; arrangement Q 208, in meV per atom.



Arrangement P

# V3SbW

A relaxed structure of V3SbW (PBE, Alexandria via LeMat-Bulk).

a b c (Å): 4.6287 4.6287 4.6287
angles (deg): 90.00 90.00 90.00
Positions (direct):
V: 0.5000 0.0000 0.0000
V: 0.0000 0.0000 0.5000
V: 0.0000 0.5000 0.0000
W: 0.0000 0.0000 0.0000
Sb: 0.5000 0.5000 0.5000



Arrangement Q

# V3SbW

A relaxed structure of V3SbW (PBE, Alexandria via LeMat-Bulk).

a b c (Å): 4.7182 4.7182 4.7182
angles (deg): 90.00 90.00 90.00
Positions (direct):
V: 0.0000 0.0000 0.5000
V: 0.5000 0.0000 0.0000
V: 0.0000 0.5000 0.0000
W: 0.5000 0.5000 0.5000
Sb: 0.0000 0.0000 0.0000



Q: What are the energies relative to the best structure? A: arrangement P 0; arrangement Q 722, in meV per atom.



Arrangement P

# YV3Sb

A relaxed structure of YV3Sb (PBE, Alexandria via LeMat-Bulk).

a b c (Å): 5.0085 5.0085 5.0085
angles (deg): 90.00 90.00 90.00
Positions (direct):
Sb: 0.0000 0.0000 0.0000
V: 0.5000 0.0000 0.0000
V: 0.0000 0.5000 0.0000
V: 0.0000 0.0000 0.5000
Y: 0.5000 0.5000 0.5000



Arrangement Q

# YV3Sb

A relaxed structure of YV3Sb (PBE, Alexandria via LeMat-Bulk).

a b c (Å): 4.7093 4.7093 4.7093
angles (deg): 90.00 90.00 90.00
Positions (direct):
V: 0.0000 0.0000 0.5000
V: 0.0000 0.5000 0.0000
V: 0.5000 0.0000 0.0000
Sb: 0.5000 0.5000 0.5000
Y: 0.0000 0.0000 0.0000



Q: What are the energies relative to the best structure? A: arrangement P 0; arrangement Q 829, in meV per atom.



Arrangement P

# YVSb2

A relaxed structure of YVSb2 (PBE, Alexandria via LeMat-Bulk).

a b c (Å): 4.2015 4.2015 7.0258
angles (deg): 72.60 72.60 60.00
Positions (direct):
Sb: 0.7373 0.7373 0.7881
Sb: 0.2627 0.2627 0.2119
Y: 0.5000 0.5000 0.5000
V: 0.0000 0.0000 0.0000



Arrangement Q

# YVSb2

A relaxed structure of YVSb2 (PBE, Alexandria via LeMat-Bulk).

a b c (Å): 6.3590 6.3590 8.2390
angles (deg): 67.30 67.30 90.00
Positions (direct):
Sb: 0.8750 0.8234 0.7500
Sb: 0.5734 0.1250 0.2500
Sb: 0.1766 0.6250 0.2500
Sb: 0.3750 0.4266 0.7500
Y: 0.7500 0.2500 0.5000
Y: 0.0000 0.0000 0.0000
V: 0.5000 0.5000 0.0000
V: 0.2500 0.7500 0.5000



Arrangement R

# YVSb2

A relaxed structure of YVSb2 (PBE, Alexandria via LeMat-Bulk).

a b c (Å): 5.1109 5.1109 5.1109
angles (deg): 60.00 60.00 60.00
Positions (direct):
Sb: 0.7500 0.7500 0.7500
Sb: 0.2500 0.2500 0.2500
V: 0.0000 0.0000 0.0000
Y: 0.5000 0.5000 0.5000



Q: What are the energies relative to the best structure? A: arrangement P 0; arrangement Q 487; arrangement R 227, in meV per atom.



Arrangement P

# YV2ZnSb

A relaxed structure of YV2ZnSb (PBE, Alexandria via LeMat-Bulk).

a b c (Å): 5.0034 5.5806 5.0034
angles (deg): 90.00 90.00 90.00
Positions (direct):
Sb: 0.0000 0.5000 0.0000
Zn: 0.5000 0.5000 0.5000
V: 0.5000 0.0000 0.0000
V: 0.0000 0.0000 0.5000
Y: 0.0000 0.0000 0.0000



Arrangement Q

# YV2ZnSb

A relaxed structure of YV2ZnSb (PBE, Alexandria via LeMat-Bulk).

a b c (Å): 5.0374 5.0233 5.0374
angles (deg): 90.00 90.00 90.00
Positions (direct):
V: 0.0000 0.0000 0.5000
V: 0.5000 0.0000 0.0000
Sb: 0.0000 0.0000 0.0000
Y: 0.5000 0.5000 0.5000
Zn: 0.0000 0.5000 0.0000



Q: What are the energies relative to the best structure? A: arrangement P 814; arrangement Q 0, in meV per atom.



Arrangement P

# V3ZnSb

A relaxed structure of V3ZnSb (PBE, Alexandria via LeMat-Bulk).

a b c (Å): 4.5690 4.5690 4.5690
angles (deg): 90.00 90.00 90.00
Positions (direct):
V: 0.0000 0.5000 0.0000
V: 0.5000 0.0000 0.0000
V: 0.0000 0.0000 0.5000
Sb: 0.5000 0.5000 0.5000
Zn: 0.0000 0.0000 0.0000



Arrangement Q

# V3ZnSb

A relaxed structure of V3ZnSb (PBE, Alexandria via LeMat-Bulk).

a b c (Å): 5.0673 5.0673 5.0673
angles (deg): 90.00 90.00 90.00
Positions (direct):
V: 0.0000 0.0000 0.5000
V: 0.5000 0.0000 0.0000
V: 0.0000 0.5000 0.0000
Sb: 0.0000 0.0000 0.0000
Zn: 0.5000 0.5000 0.5000



Q: What are the energies relative to the best structure? A: arrangement P 0; arrangement Q 423, in meV per atom.